PBE La2SmScS6, relaxed; energy relative to the elements, uncorrected = -2081.3 meV per atom; magnetic moment = 0.00 Bohr magnetons per cell; V = 494.5 Å³ per cell; SG = P2_1/c, No. 14; calculated total energy = -132.97 eV for the cell shown
1.0
6.751 0.000 0.049
0.000 7.362 0.000
0.129 0.000 9.949
La Sm Sc S
4 2 2 12
direct
0.036 0.908 0.253
0.536 0.592 0.753
0.964 0.092 0.747
0.464 0.408 0.247
0.500 0.000 0.500
0.000 0.500 0.000
0.500 0.000 0.000
0.000 0.500 0.500
0.329 0.696 0.070
0.829 0.804 0.570
0.671 0.304 0.930
0.171 0.196 0.430
0.308 0.681 0.431
0.808 0.819 0.931
0.692 0.319 0.569
0.192 0.181 0.069
0.862 0.549 0.261
0.362 0.951 0.761
0.138 0.451 0.739
0.638 0.049 0.239